# Li6ZnHg5 PBE-GGA relaxed
# Formation energy from the elements = -335 meV per atom
data_Li6ZnHg5
_symmetry_space_group_name_H-M 'P 1'
_symmetry_Int_Tables_number 1
_symmetry_space_group_name_Hall 'P 1'
_cell_length_a 4.6112
_cell_length_b 6.7882
_cell_length_c 7.2135
_cell_angle_alpha 90.00
_cell_angle_beta 107.73
_cell_angle_gamma 90.00
loop_
_atom_site_label
_atom_site_type_symbol
_atom_site_fract_x
_atom_site_fract_y
_atom_site_fract_z
Li1 Li 0.0000 0.2488 0.0000
Li2 Li 0.0000 0.7512 0.0000
Li3 Li 0.3329 0.2556 0.6668
Li4 Li 0.3329 0.7444 0.6668
Li5 Li 0.6671 0.2556 0.3332
Li6 Li 0.6671 0.7444 0.3332
Zn1 Zn 0.5000 0.5000 0.0000
Hg1 Hg 0.1605 0.5000 0.3193
Hg2 Hg 0.1685 0.0000 0.3353
Hg3 Hg 0.5000 0.0000 0.0000
Hg4 Hg 0.8315 0.0000 0.6647
Hg5 Hg 0.8395 0.5000 0.6807

---

# Li4ZnHg PBE-GGA relaxed
# Formation energy from the elements = -164 meV per atom
data_Li4ZnHg
_symmetry_space_group_name_H-M 'P 1'
_symmetry_Int_Tables_number 1
_symmetry_space_group_name_Hall 'P 1'
_cell_length_a 8.3696
_cell_length_b 8.3696
_cell_length_c 5.3518
_cell_angle_alpha 90.00
_cell_angle_beta 90.00
_cell_angle_gamma 147.57
loop_
_atom_site_label
_atom_site_type_symbol
_atom_site_fract_x
_atom_site_fract_y
_atom_site_fract_z
Li1 Li 0.0396 0.9604 0.5000
Li2 Li 0.1928 0.8072 0.6110
Li3 Li 0.2867 0.7133 0.2685
Li4 Li 0.4522 0.5478 0.3325
Li5 Li 0.5478 0.4522 0.8325
Li6 Li 0.7133 0.2867 0.7685
Li7 Li 0.8072 0.1928 0.1110
Li8 Li 0.9604 0.0396 0.0000
Zn1 Zn 0.1290 0.8710 0.0503
Zn2 Zn 0.8710 0.1290 0.5503
Hg1 Hg 0.3636 0.6364 0.8180
Hg2 Hg 0.6364 0.3636 0.3180

---

# Li3Zn2Hg8 PBE-GGA relaxed
# Formation energy from the elements = -138 meV per atom
data_Li3Zn2Hg8
_symmetry_space_group_name_H-M 'P 1'
_symmetry_Int_Tables_number 1
_symmetry_space_group_name_Hall 'P 1'
_cell_length_a 4.6564
_cell_length_b 4.7085
_cell_length_c 12.6575
_cell_angle_alpha 100.19
_cell_angle_beta 90.18
_cell_angle_gamma 90.00
loop_
_atom_site_label
_atom_site_type_symbol
_atom_site_fract_x
_atom_site_fract_y
_atom_site_fract_z
Li1 Li 0.0000 0.0000 0.0000
Li2 Li 0.4987 0.3663 0.7289
Li3 Li 0.5013 0.6337 0.2711
Zn1 Zn 0.0037 0.1269 0.2653
Zn2 Zn 0.9963 0.8731 0.7347
Hg1 Hg 0.0009 0.5600 0.1243
Hg2 Hg 0.0014 0.6968 0.4049
Hg3 Hg 0.4971 0.7994 0.5909
Hg4 Hg 0.4982 0.9356 0.8750
Hg5 Hg 0.5018 0.0644 0.1250
Hg6 Hg 0.5029 0.2006 0.4091
Hg7 Hg 0.9986 0.3032 0.5951
Hg8 Hg 0.9991 0.4400 0.8757

---

# Li4Zn2Hg5 PBE-GGA relaxed
# Formation energy from the elements = -205 meV per atom
data_Li4Zn2Hg5
_symmetry_space_group_name_H-M 'P 1'
_symmetry_Int_Tables_number 1
_symmetry_space_group_name_Hall 'P 1'
_cell_length_a 7.2315
_cell_length_b 7.2315
_cell_length_c 6.6689
_cell_angle_alpha 91.32
_cell_angle_beta 91.32
_cell_angle_gamma 37.55
loop_
_atom_site_label
_atom_site_type_symbol
_atom_site_fract_x
_atom_site_fract_y
_atom_site_fract_z
Li1 Li 0.0063 0.0063 0.2338
Li2 Li 0.3433 0.3433 0.7467
Li3 Li 0.6567 0.6567 0.2533
Li4 Li 0.9937 0.9937 0.7662
Zn1 Zn 0.4200 0.4200 0.1162
Zn2 Zn 0.5800 0.5800 0.8838
Hg1 Hg 0.1707 0.1707 0.5032
Hg2 Hg 0.1769 0.1769 0.9981
Hg3 Hg 0.5000 0.5000 0.5000
Hg4 Hg 0.8231 0.8231 0.0019
Hg5 Hg 0.8293 0.8293 0.4968